1.
CoW2: optimized geometry, PBE.

Cell lengths 6.2255, 6.2255, 6.2255 Å; angles 155.10, 155.10, 35.50 degrees
Closest atoms and distances in Å follow each position.
Fractional positions:
W (0.8460, 0.8460, 0.0000)  4 Co 2.63, 4 W 2.68
Co (0.5000, 0.5000, 0.0000)  8 W 2.63, 4 Co 2.68
W (0.1540, 0.1540, 0.0000)  4 Co 2.63, 4 W 2.68

Properties
Uncorrected energy ... -32.7 eV/cell
SG ... I4/mmm
M_tot ... 0.00 μB/f.u.
Polymorph energy (0 for the lowest one) ... 0.084 eV/atom
ΔE_f ... 0.09 eV/atom

=====

2.
Be2HS2: optimized geometry, PBE.

Cell lengths 3.4795, 3.4795, 7.5809 Å; angles 76.73, 76.73, 90.00 degrees
Closest atoms and distances in Å follow each position.
Fractional positions:
Be (0.7500, 0.2500, 0.5000)  4 S 2.12
H (0.0000, 0.0000, 0.0000)  8 S 3.41, 4 H 3.48
S (0.6650, 0.6650, 0.6699)  4 Be 2.12
Be (0.2500, 0.7500, 0.5000)  4 S 2.12
S (0.3350, 0.3350, 0.3301)  4 Be 2.12

Properties
Uncorrected energy ... -20.5 eV/cell
SG ... I4/mmm
M_tot ... 1.00 μB/f.u.
Polymorph energy (0 for the lowest one) ... 0.000 eV/atom

=====

3.
Zr3TiCo8: optimized geometry, PBE.

Cell lengths 4.8464, 4.8464, 8.4031 Å; angles 73.24, 73.24, 60.00 degrees
Closest atoms and distances in Å follow each position.
Fractional positions:
Zr (0.3761, 0.3761, 0.8717)  12 Co 2.84-2.89, 4 Zr 3.01-3.02
Co (0.9369, 0.4363, 0.1906)  6 Co 2.40-2.45
Co (0.4363, 0.9369, 0.1906)  6 Co 2.40-2.45
Co (0.4402, 0.9381, 0.6836)  6 Co 2.41-2.44
Zr (0.9963, 0.9963, 0.0111)  12 Co 2.81-2.95, 1 Ti 2.93, 3 Zr 3.01
Ti (0.8732, 0.8732, 0.3804)  12 Co 2.78-2.85, 4 Zr 2.93
Co (0.9381, 0.4402, 0.6836)  6 Co 2.41-2.44
Co (0.1879, 0.1879, 0.4363)  6 Co 2.40-2.41
Co (0.9381, 0.9381, 0.6836)  6 Co 2.41-2.44
Co (0.6877, 0.6877, 0.9370)  6 Co 2.44-2.45
Co (0.4363, 0.4363, 0.1906)  6 Co 2.40-2.45
Zr (0.5030, 0.5030, 0.4909)  12 Co 2.76-2.86, 3 Ti 2.93, 1 Zr 3.02

Properties
Uncorrected energy ... -94.1 eV/cell
SG ... R3m
M_tot ... 3.51 μB/f.u.
ΔE_f ... -0.31 eV/atom

=====

4.
ZrGa2Rh: optimized geometry, PBE.

Cell lengths 4.0938, 6.5293, 10.0709 Å; angles 90.00, 90.00, 90.00 degrees
Closest atoms and distances in Å follow each position.
Fractional positions:
Zr (0.7500, 0.7634, 0.3295)  7 Ga 2.91-2.94, 3 Rh 2.92-2.93
Zr (0.2500, 0.7366, 0.8295)  7 Ga 2.91-2.94, 3 Rh 2.92-2.93
Zr (0.7500, 0.2634, 0.1705)  7 Ga 2.91-2.94, 3 Rh 2.92-2.93
Ga (0.2500, 0.4478, 0.3383)  2 Rh 2.54-2.60, 3 Ga 2.65-2.70
Zr (0.2500, 0.2366, 0.6705)  7 Ga 2.91-2.94, 3 Rh 2.92-2.93
Ga (0.2500, 0.2242, 0.9624)  3 Rh 2.55-2.59, 3 Ga 2.65-2.70
Ga (0.7500, 0.5522, 0.6617)  2 Rh 2.54-2.60, 3 Ga 2.65-2.70
Rh (0.7500, 0.9384, 0.5975)  5 Ga 2.54-2.60
Rh (0.2500, 0.5616, 0.0975)  5 Ga 2.54-2.60
Ga (0.7500, 0.2758, 0.4624)  3 Rh 2.55-2.59, 3 Ga 2.65-2.70
Ga (0.7500, 0.0522, 0.8383)  2 Rh 2.54-2.60, 3 Ga 2.65-2.70
Ga (0.7500, 0.7758, 0.0376)  3 Rh 2.55-2.59, 3 Ga 2.65-2.70
Ga (0.2500, 0.7242, 0.5376)  3 Rh 2.55-2.59, 3 Ga 2.65-2.70
Rh (0.2500, 0.0616, 0.4025)  5 Ga 2.54-2.60
Ga (0.2500, 0.9478, 0.1617)  2 Rh 2.54-2.60, 3 Ga 2.65-2.70
Rh (0.7500, 0.4384, 0.9025)  5 Ga 2.54-2.60

Properties
Uncorrected energy ... -98.9 eV/cell
SG ... Pnma
M_tot ... 0.00 μB/f.u.
ΔE_f ... -0.69 eV/atom

=====

What is the uncorrected energy in the first record? -32.7 eV/cell

=====

Please write out number 2 again, unchanged.
Be2HS2: optimized geometry, PBE.

Cell lengths 3.4795, 3.4795, 7.5809 Å; angles 76.73, 76.73, 90.00 degrees
Closest atoms and distances in Å follow each position.
Fractional positions:
Be (0.7500, 0.2500, 0.5000)  4 S 2.12
H (0.0000, 0.0000, 0.0000)  8 S 3.41, 4 H 3.48
S (0.6650, 0.6650, 0.6699)  4 Be 2.12
Be (0.2500, 0.7500, 0.5000)  4 S 2.12
S (0.3350, 0.3350, 0.3301)  4 Be 2.12

Properties
Uncorrected energy ... -20.5 eV/cell
SG ... I4/mmm
M_tot ... 1.00 μB/f.u.
Polymorph energy (0 for the lowest one) ... 0.000 eV/atom